A plane-wave DFT calculation with PBE was carried out for a relaxed GaPt crystal.

Lattice parameters (Å, degrees): 2.835 3.768 6.685 106.20 101.73 90.06
Fractional positions:
Ga  0.227  0.504  0.495
Ga  0.978  0.746  0.981
Pt  0.558  0.329  0.147
Pt  0.819  0.097  0.683

- spin magnetization (μB per formula unit) = 0.0
- energy relative to the elements (eV per atom) = -0.55
- DOS(E_F) (states/eV/cell) = 1.1

---

A plane-wave DFT calculation with PBE was carried out for a relaxed TaAuO3 crystal.

Lattice parameters (Å, degrees): 3.981 3.981 3.981 90.00 90.00 90.00
Fractional positions:
Au  0.500  0.500  0.500
O  0.000  0.500  0.000
O  0.000  0.000  0.500
O  0.500  0.000  0.000
Ta  0.000  0.000  0.000

- spin magnetization (μB per formula unit) = 0.0
- DOS(E_F) (states/eV/cell) = 0.4
- E_form (uncorrected) (kJ/mol of atoms) = -158.53

---

A plane-wave DFT calculation with PBE was carried out for a relaxed HI crystal.

Lattice parameters (Å, degrees): 5.106 17.086 14.315 90.00 90.00 90.00
Fractional positions:
H  0.000  0.749  0.000
H  0.000  0.251  0.000
H  0.250  0.001  0.250
H  0.250  0.499  0.250
H  0.000  0.249  0.500
H  0.000  0.751  0.500
H  0.250  0.501  0.750
H  0.250  0.999  0.750
H  0.500  0.749  0.500
H  0.500  0.251  0.500
H  0.750  0.001  0.750
H  0.750  0.499  0.750
H  0.500  0.249  0.000
H  0.500  0.751  0.000
H  0.750  0.501  0.250
H  0.750  0.999  0.250
I  0.000  0.000  0.350
I  0.000  0.000  0.650
I  0.250  0.750  0.900
I  0.250  0.750  0.600
I  0.000  0.500  0.850
I  0.000  0.500  0.150
I  0.250  0.250  0.400
I  0.250  0.250  0.100
I  0.500  0.000  0.850
I  0.500  0.000  0.150
I  0.750  0.750  0.400
I  0.750  0.750  0.100
I  0.500  0.500  0.350
I  0.500  0.500  0.650
I  0.750  0.250  0.900
I  0.750  0.250  0.600

- spin magnetization (μB per formula unit) = 0.0
- DFT total energy (eV/atom) = -2.40
- DOS(E_F) (states/eV/cell) = 0.0

---

Which value of spin magnetization does entry 1 give?
0.0 μB per formula unit